KTa2Ru | PBE | optimized geometry

a = 2.9174 Å, b = 2.9174 Å, c = 10.4359 Å
α = 90.00°, β = 90.00°, γ = 113.46°
Fractional coordinates of all 4 atoms:
K 0.0000 0.0000 0.0000
Ta 0.0000 0.0000 0.5429
Ta 0.5000 0.5000 0.3195
Ru 0.5000 0.5000 0.7336

Calculated values
* energy of formation from the pure elements: 2.10 eV/f.u.
* space-group type: No. 35
* total magnetic moment: 0.00 μB/f.u.

***

LiGdLuCu | PBE | optimized geometry

a = 4.9968 Å, b = 4.9968 Å, c = 4.9968 Å
α = 60.00°, β = 60.00°, γ = 60.00°
Fractional coordinates of all 4 atoms:
Li 0.0000 0.0000 0.0000
Gd 0.7500 0.7500 0.7500
Lu 0.2500 0.2500 0.2500
Cu 0.5000 0.5000 0.5000

Calculated values
* energy of formation from the pure elements: -0.16 eV/f.u.
* space-group type: No. 216
* total magnetic moment: 7.34 μB/f.u.

***

Tl2CuHgI6 | PBE | optimized geometry

a = 7.4782 Å, b = 7.4867 Å, c = 9.5688 Å
α = 67.70°, β = 67.49°, γ = 62.48°
Fractional coordinates of all 10 atoms:
Tl 0.0000 0.0000 0.0000
Tl 0.3900 0.3864 0.6424
Cu 0.6956 0.6925 0.8214
Hg 0.1971 0.1909 0.3217
I 0.4004 0.8748 0.6694
I 0.4285 0.4208 0.2142
I 0.5116 0.9893 0.9727
I 0.8798 0.3961 0.6694
I 0.9655 0.9613 0.4286
I 0.9909 0.5104 0.9734

Calculated values
* space-group type: No. 1
* ΔE_f (raw): -0.337 eV per atom
* total magnetic moment: 0.00 μB/f.u.